DFT (PBE-GGA) results for a relaxed BeCoSnMo crystal.

Cell and atoms, written as extended XYZ:
```
4
Lattice="0.0000 3.0287 3.0287 3.0287 0.0000 3.0287 3.0287 3.0287 0.0000" Properties=species:S:1:pos:R:3 pbc="T T T"
Be 1.5144 1.5144 1.5144
Co 4.5431 4.5431 4.5431
Mo 3.0287 3.0287 3.0287
Sn 0.0000 0.0000 0.0000
```

* VASP energy: -6.132 eV/atom